Entry 1:
# BaNi2W

A geometry-optimized BaNi2W structure (PBE, Alexandria via LeMat-Bulk).

Properties
Magnetization   0.000 μB per cell
Energy above the lowest structure with this stoichiometry   660 meV per atom

Lattice parameters (Å, degrees): 2.888 4.902 10.344 90.00 90.00 90.00
Atoms (fractional coordinates):
Ba: 0.000 0.000 0.000
Ba: 0.500 0.500 0.500
Ni: 0.000 0.000 0.500
Ni: 0.000 0.500 0.780
Ni: 0.500 0.000 0.280
Ni: 0.500 0.500 0.000
W: 0.000 0.500 0.210
W: 0.500 0.000 0.710


Entry 2:
# Tb12Pm5Er2

A geometry-optimized Tb12Pm5Er2 structure (PBE, Alexandria via LeMat-Bulk).

Properties
Magnetization   0.000 μB per cell
Energy above the lowest structure with this stoichiometry   99 meV per atom

Lattice parameters (Å, degrees): 10.006 10.006 8.681 112.77 112.77 54.04
Atoms (fractional coordinates):
Tb: 0.040 0.668 0.096
Tb: 0.047 0.047 0.182
Tb: 0.144 0.599 0.543
Tb: 0.332 0.960 0.904
Tb: 0.401 0.856 0.457
Tb: 0.441 0.441 0.285
Tb: 0.559 0.559 0.715
Tb: 0.599 0.144 0.543
Tb: 0.668 0.040 0.096
Tb: 0.856 0.401 0.457
Tb: 0.953 0.953 0.818
Tb: 0.960 0.332 0.904
Pm: 0.000 0.000 0.500
Pm: 0.239 0.239 0.290
Pm: 0.291 0.291 0.779
Pm: 0.709 0.709 0.221
Pm: 0.761 0.761 0.710
Er: 0.327 0.673 0.000
Er: 0.673 0.327 0.000


Entry 3:
# Er3Ge3Os2

A geometry-optimized Er3Ge3Os2 structure (PBE, Alexandria via LeMat-Bulk).

Properties
Magnetization   0.000 μB per cell

Lattice parameters (Å, degrees): 5.787 5.787 13.806 90.00 90.00 136.68
Atoms (fractional coordinates):
Er: 0.077 0.923 0.614
Er: 0.077 0.923 0.886
Er: 0.352 0.648 0.750
Er: 0.648 0.352 0.250
Er: 0.923 0.077 0.114
Er: 0.923 0.077 0.386
Ge: 0.337 0.663 0.250
Ge: 0.385 0.615 0.540
Ge: 0.385 0.615 0.960
Ge: 0.615 0.385 0.040
Ge: 0.615 0.385 0.460
Ge: 0.663 0.337 0.750
Os: 0.213 0.787 0.084
Os: 0.213 0.787 0.416
Os: 0.787 0.213 0.584
Os: 0.787 0.213 0.916


Entry 4:
# LaSm7Er4

A geometry-optimized LaSm7Er4 structure (PBE, Alexandria via LeMat-Bulk).

Properties
Magnetization   0.001 μB per cell
Energy above the lowest structure with this stoichiometry   0 meV per atom

Lattice parameters (Å, degrees): 6.286 7.263 8.945 89.97 76.34 90.00
Atoms (fractional coordinates):
La: 0.000 0.000 0.000
Sm: 0.000 0.500 0.000
Sm: 0.223 0.000 0.336
Sm: 0.280 0.747 0.663
Sm: 0.500 0.254 0.999
Sm: 0.500 0.746 0.001
Sm: 0.720 0.253 0.337
Sm: 0.777 0.000 0.664
Er: 0.219 0.500 0.336
Er: 0.278 0.254 0.665
Er: 0.722 0.746 0.335
Er: 0.781 0.500 0.664


no.,N(E_F) (states/eV/f.u.),E_form (meV/atom)
1,4.9,923
2,29.0,214
3,3.6,-655
4,17.2,3